Below is a relaxed structure of ZnCu2Pt, with properties calculated at the GGA-PBE level.

abc: 3.8047 3.8047 7.4119
angles: 90.00 90.00 90.00
Last column: nearest neighbours and their distance in Å.
Space group I-4m2 (No. 119)
Unique sites:
Zn  0.0000  0.0000  0.0000 [2 per cell]  8 Cu 2.66-2.69, 4 Pt 2.66
Cu  0.0000  0.0000  0.5000 [2 per cell]  4 Pt 2.66, 4 Cu 2.66, 4 Zn 2.69
Cu  0.0000  0.5000  0.7500 [2 per cell]  4 Cu 2.66, 4 Zn 2.66, 4 Pt 2.69
Pt  0.0000  0.5000  0.2500 [2 per cell]  8 Cu 2.66-2.69, 4 Zn 2.66

Computed properties:
Formation enthalpy at 0 K   -0.2851 eV/atom
Calculated total energy   -4.162 eV per atom
Total magnetization   0.00 μB per cell
ρ   12.0 g cm⁻³
Volume   53.6 Å³/f.u.


Below is a relaxed structure of ZnCuPt4, with properties calculated at the GGA-PBE level.

abc: 2.7827 2.7827 11.4282
angles: 90.00 90.00 90.00
Last column: nearest neighbours and their distance in Å.
Space group P4/mmm (No. 123)
Unique sites:
Zn  0.0000  0.0000  0.0000 [1 per cell]  8 Pt 2.69, 4 Zn 2.78
Cu  0.5000  0.5000  0.5000 [1 per cell]  8 Pt 2.67, 4 Cu 2.78
Pt  0.0000  0.0000  0.3419 [2 per cell]  4 Cu 2.67, 8 Pt 2.78-2.85
Pt  0.5000  0.5000  0.1611 [2 per cell]  4 Zn 2.69, 8 Pt 2.78-2.85

Computed properties:
Formation enthalpy at 0 K   -0.2606 eV/atom
Relative energy among the computed polymorphs   0.000 eV per formula unit
Calculated total energy   -5.183 eV per atom
Total magnetization   0.00 μB per cell
ρ   17.1 g cm⁻³
Volume   88.5 Å³/f.u.


Below is a relaxed structure of Zn2Cu3Pt6, with properties calculated at the GGA-PBE level.

abc: 5.3461 5.3463 7.3294
angles: 92.50 110.03 117.96
Last column: nearest neighbours and their distance in Å.
Space group P1 (No. 1)
Unique sites:
Zn  0.0000  0.0000  0.0000 [1 per cell]  4 Cu 2.63-2.89, 7 Pt 2.64-2.70
Zn  0.0747  0.7520  0.3648 [1 per cell]  6 Pt 2.58-2.73, 3 Cu 2.67-2.84
Cu  0.4936  0.4976  0.0006 [1 per cell]  7 Pt 2.65-2.69, 3 Zn 2.73-2.94, 1 Cu 2.90
Cu  0.5783  0.2675  0.3534 [1 per cell]  6 Pt 2.62-2.69, 3 Zn 2.67-2.89, 2 Cu 2.67-2.90
Cu  0.6331  0.0603  0.6813 [1 per cell]  2 Zn 2.63-2.71, 7 Pt 2.63-2.74, 1 Cu 2.67
Pt  0.0061  0.5086  0.0173 [1 per cell]  3 Zn 2.63-2.70, 3 Cu 2.67-2.72, 5 Pt 2.72-2.79
Pt  0.0731  0.2592  0.3448 [1 per cell]  3 Zn 2.63-2.73, 2 Cu 2.66-2.69, 6 Pt 2.71-2.79
Pt  0.1268  0.0478  0.6769 [1 per cell]  2 Zn 2.58-2.67, 3 Cu 2.67-2.68, 5 Pt 2.71-2.77
Pt  0.5045  0.0010  0.0133 [1 per cell]  4 Cu 2.62-2.74, 2 Zn 2.66-2.69, 5 Pt 2.71-2.79
Pt  0.5717  0.7656  0.3462 [1 per cell]  4 Cu 2.65-2.69, 2 Zn 2.67-2.68, 6 Pt 2.72-2.79
Pt  0.6226  0.5478  0.6773 [1 per cell]  4 Cu 2.63-2.71, 1 Zn 2.68, 5 Pt 2.72-2.77

Computed properties:
Formation enthalpy at 0 K   -0.1992 eV/atom
Calculated total energy   -4.843 eV per atom
Total magnetization   0.00 μB per cell
ρ   14.7 g cm⁻³
Volume   168.5 Å³/f.u.


Below is a relaxed structure of ZnCu3Pt2, with properties calculated at the GGA-PBE level.

abc: 5.3018 3.8462 8.0016
angles: 90.00 91.29 90.00
Last column: nearest neighbours and their distance in Å.
Space group P2_1/m (No. 11)
Unique sites:
Zn  0.1158  0.2500  0.2479 [2 per cell]  5 Pt 2.64-2.72, 7 Cu 2.65-2.74
Cu  0.1341  0.2500  0.5794 [2 per cell]  5 Pt 2.63-2.67, 3 Zn 2.65-2.73, 4 Cu 2.69
Cu  0.3747  0.7500  0.0782 [2 per cell]  5 Pt 2.60-2.71, 5 Cu 2.63-2.67, 2 Zn 2.74
Cu  0.3852  0.7500  0.7493 [2 per cell]  5 Cu 2.63-2.69, 2 Zn 2.65-2.66, 5 Pt 2.67-2.72
Pt  0.1351  0.2500  0.9079 [2 per cell]  7 Cu 2.60-2.71, 3 Zn 2.64-2.72, 2 Pt 2.83
Pt  0.3614  0.7500  0.4088 [2 per cell]  8 Cu 2.63-2.72, 2 Zn 2.64, 2 Pt 2.81

Computed properties:
Formation enthalpy at 0 K   -0.2491 eV/atom
Relative energy among the computed polymorphs   0.033 eV per formula unit
Calculated total energy   -4.523 eV per atom
Total magnetization   0.00 μB per cell
ρ   13.2 g cm⁻³
Volume   81.6 Å³/f.u.


Below is a relaxed structure of Zn3Cu3Pt, with properties calculated at the GGA-PBE level.

abc: 8.5468 8.6272 5.4454
angles: 90.00 90.00 90.00
Last column: nearest neighbours and their distance in Å.
Space group Cmmm (No. 65)
Unique sites:
Zn  0.0000  0.0000  0.2449 [4 per cell]  2 Pt 2.62, 2 Zn 2.67-2.78, 4 Cu 2.69-2.92
Zn  0.2500  0.2500  0.2419 [8 per cell]  6 Cu 2.53-2.61, 2 Pt 2.58, 2 Zn 2.63-2.81
Cu  0.0000  0.3005  0.0000 [4 per cell]  4 Zn 2.55, 4 Cu 2.59-2.72
Cu  0.0000  0.3074  0.5000 [4 per cell]  4 Zn 2.61, 2 Pt 2.64, 2 Cu 2.72
Cu  0.2270  0.5000  0.0000 [4 per cell]  6 Zn 2.53-2.69, 2 Cu 2.59, 2 Pt 2.73
Pt  0.2403  0.5000  0.5000 [4 per cell]  6 Zn 2.58-2.62, 4 Cu 2.64-2.73

Computed properties:
Formation enthalpy at 0 K   -0.1000 eV/atom
Relative energy among the computed polymorphs   0.000 eV per formula unit
Calculated total energy   -3.264 eV per atom
Total magnetization   0.00 μB per cell
ρ   9.6 g cm⁻³
Volume   100.4 Å³/f.u.


Below is a relaxed structure of Zn4Cu5Pt, with properties calculated at the GGA-PBE level.

abc: 13.5279 3.7952 5.2483
angles: 90.00 100.74 90.00
Last column: nearest neighbours and their distance in Å.
Space group C2/m (No. 12)
Unique sites:
Zn  0.0959  0.0000  0.3064 [4 per cell]  8 Cu 2.55-2.71, 2 Pt 2.66, 2 Zn 2.70
Zn  0.1995  0.5000  0.0997 [4 per cell]  7 Cu 2.60-2.67, 1 Pt 2.65, 4 Zn 2.66-2.70
Cu  0.0000  0.5000  0.5000 [2 per cell]  4 Zn 2.61, 2 Pt 2.62, 6 Cu 2.67-2.68
Cu  0.1053  0.0000  0.7952 [4 per cell]  6 Zn 2.55-2.71, 4 Cu 2.61-2.68, 2 Pt 2.71
Cu  0.2008  0.5000  0.5994 [4 per cell]  5 Cu 2.61-2.67, 7 Zn 2.62-2.70
Pt  0.0000  0.5000  0.0000 [2 per cell]  6 Cu 2.62-2.71, 6 Zn 2.65-2.66

Computed properties:
Formation enthalpy at 0 K   -0.1696 eV/atom
Relative energy among the computed polymorphs   0.000 eV per formula unit
Calculated total energy   -3.331 eV per atom
Total magnetization   0.00 μB per cell
ρ   9.7 g cm⁻³
Volume   132.4 Å³/f.u.